{
  "formula": "Li5Mn2CoO8",
  "functional": "GGA+U",
  "state": "optimized geometry",
  "magnetic_moment_mub_per_atom": 0.38,
  "relative_energy_mev_per_atom": 7,
  "cell": [[5.0525, 0.0029, 0.0226], [1.6382, 5.5245, 0.0035], [1.6409, 2.5110, 4.8900]],
  "species": ["Li", "Li", "Li", "Li", "Li", "Mn", "Mn", "Co", "O", "O", "O", "O", "O", "O", "O", "O"],
  "frac_coords": [[0.4985, 0.7322, 0.2753], [0.5030, 0.2469, 0.2614], [0.5015, 0.2678, 0.7247], [0.4970, 0.7531, 0.7386], [0.0000, 0.5000, 0.5000], [0.0000, 0.0000, 0.0000], [0.0000, 0.5000, 0.0000], [0.0000, 0.0000, 0.5000], [0.2196, 0.1317, 0.1267], [0.2242, 0.6386, 0.1113], [0.2256, 0.6354, 0.6387], [0.2247, 0.1125, 0.6394], [0.7744, 0.3646, 0.3613], [0.7753, 0.8875, 0.3606], [0.7804, 0.8683, 0.8733], [0.7758, 0.3614, 0.8887]]
}